No. 1
The following is a GGA-PBE calculation of Nb4RuW2 after structural relaxation, from the Alexandria database. Values from VASP.

Structure (Quantum ESPRESSO input):
```
&SYSTEM
  ibrav = 0, nat = 7, ntyp = 3
/
ATOMIC_SPECIES
Nb 92.91 Nb.upf
Ru 101.07 Ru.upf
W 183.84 W.upf
CELL_PARAMETERS angstrom
-3.1745 3.1745 3.2006
3.1745 -3.1745 3.2006
3.1745 3.1745 -3.2006
ATOMIC_POSITIONS angstrom
Nb 1.5873 1.5873 -1.6003
Nb 1.5873 -1.5873 1.6003
Nb -1.5873 1.5873 1.6003
Nb 1.5873 1.5873 1.6003
Ru 0.0000 0.0000 0.0000
W 3.1745 0.0000 0.0000
W 0.0000 3.1745 0.0000
```

- M_tot: 0.00 μB/cell
- DFT formation energy: 0.1793 eV per atom
- Final energy: -10.601 eV per atom
- DOS at the Fermi energy: 4.6 states/eV/cell



No. 2
The following is a GGA-PBE calculation of K2LiPdO after structural relaxation, from the Alexandria database. Values from VASP.

Structure (Quantum ESPRESSO input):
```
&SYSTEM
  ibrav = 0, nat = 5, ntyp = 4
/
ATOMIC_SPECIES
K 39.10 K.upf
Li 6.94 Li.upf
Pd 106.42 Pd.upf
O 16.00 O.upf
CELL_PARAMETERS angstrom
6.0377 0.0000 0.0000
0.0000 6.0377 0.0000
0.0000 0.0000 4.6706
ATOMIC_POSITIONS angstrom
K 0.0000 3.0189 0.0000
K 3.0189 0.0000 0.0000
Li 0.0000 0.0000 2.3353
Pd 0.0000 0.0000 0.0000
O 3.0189 3.0189 2.3353
```

- M_tot: 0.30 μB/cell
- Raw formation energy: 172 meV per atom
- Final energy: -2.680 eV per atom
- DOS at the Fermi energy: 12.7 states/eV/cell